DFT (GGA-PBE) results for an optimized crystal structure of LiZr2NiN.

a = 4.4557 Å, b = 4.4557 Å, c = 3.6897 Å
α = 90.00°, β = 90.00°, γ = 90.00°
Space group P4/mmm (No. 123)
One atom of each set of equivalent atoms:
Li1 0.0000 0.0000 0.0000 (multiplicity 1)
Zr1 0.0000 0.5000 0.5000 (multiplicity 2)
Ni1 0.5000 0.5000 0.0000 (multiplicity 1)
N1 0.0000 0.0000 0.5000 (multiplicity 1)

**Calculated density**: 5.9 Mg/m³
**N(E_F)**: 3.03 states/eV per cell
**Formation energy (no corrections)**: -0.66 eV/atom

***

DFT (GGA-PBE) results for an optimized crystal structure of Li14Np2N9.

a = 6.0793 Å, b = 6.0793 Å, c = 8.6359 Å
α = 90.00°, β = 90.00°, γ = 120.00°
Space group P-3 (No. 147)
One atom of each set of equivalent atoms:
Li1 0.0000 0.0000 0.2027 (multiplicity 2)
Li2 0.0757 0.3862 0.0764 (multiplicity 6)
Li3 0.1234 0.7917 0.3870 (multiplicity 6)
Np1 0.3333 0.6667 0.7103 (multiplicity 2)
N1 0.0000 0.0000 0.5000 (multiplicity 1)
N2 0.0540 0.3631 0.8360 (multiplicity 6)
N3 0.3333 0.6667 0.4904 (multiplicity 2)

**Calculated density**: 4.2 Mg/m³
**N(E_F)**: 7.37 states/eV per cell
**Formation energy (no corrections)**: -0.50 eV/atom